(1)
First-principles (PBE) data for crystalline LiPaRu4 at its relaxed geometry, as listed in the Alexandria database.

Results
ρ = 10.58 Mg/m³
electronic total energy = -8.123 eV per atom

Cell and atoms, written as CIF:
```
data_LiPaRu4
_chemical_formula_sum 'Li4 Pa4 Ru16'
_cell_length_a 7.3881
_cell_length_b 7.3881
_cell_length_c 7.3881
_cell_angle_alpha 90.00
_cell_angle_beta 90.00
_cell_angle_gamma 90.00
_symmetry_space_group_name_H-M 'F -4 3 m'
_symmetry_Int_Tables_number 216
_symmetry_space_group_name_Hall 'F -4 2 3'
loop_
_atom_site_label
_atom_site_fract_x
_atom_site_fract_y
_atom_site_fract_z
Li1 0.0000 0.0000 0.0000
Pa1 0.2500 0.2500 0.2500
Ru1 0.1254 0.1254 0.6254
```



(2)
First-principles (PBE) data for crystalline Tb3TlBi2 at its relaxed geometry, as listed in the Alexandria database.

Results
ρ = 9.61 Mg/m³
electronic total energy = -4.602 eV per atom

Cell and atoms, written as CIF:
```
data_Tb3TlBi2
_chemical_formula_sum 'Tb12 Tl4 Bi8'
_cell_length_a 8.0560
_cell_length_b 13.3494
_cell_length_c 7.4772
_cell_angle_alpha 90.00
_cell_angle_beta 109.09
_cell_angle_gamma 90.00
_symmetry_space_group_name_H-M 'C 1 2/c 1'
_symmetry_Int_Tables_number 15
loop_
_symmetry_equiv_pos_as_xyz
'x,y,z'
'-x,-y,-z'
'-x,y,-z+1/2'
'x,-y,z+1/2'
'x+1/2,y+1/2,z'
'-x+1/2,-y+1/2,-z'
'-x+1/2,y+1/2,-z+1/2'
'x+1/2,-y+1/2,z+1/2'
loop_
_atom_site_label
_atom_site_fract_x
_atom_site_fract_y
_atom_site_fract_z
Tb1 0.2397 0.0855 0.4989
Tb2 0.2500 0.2500 0.0000
Tl1 0.0000 0.4216 0.7500
Bi1 0.0000 0.0851 0.7500
Bi2 0.0000 0.2538 0.2500
```



(3)
First-principles (PBE) data for crystalline Hg4SbI3 at its relaxed geometry, as listed in the Alexandria database.

Results
ρ = 5.46 Mg/m³
uncorrected formation energy = -170 meV/atom
polymorph energy (0 for the lowest one) = 0.000 eV per atom

Cell and atoms, written as CIF:
```
data_Hg4SbI3
_chemical_formula_sum 'Hg8 Sb2 I6'
_cell_length_a 12.4503
_cell_length_b 7.9171
_cell_length_c 8.0520
_cell_angle_alpha 90.00
_cell_angle_beta 90.00
_cell_angle_gamma 90.00
_symmetry_space_group_name_H-M 'P m n 21'
_symmetry_Int_Tables_number 31
loop_
_symmetry_equiv_pos_as_xyz
'x,y,z'
'-x+1/2,-y,z+1/2'
'-x,y,z'
'x+1/2,-y,z+1/2'
loop_
_atom_site_label
_atom_site_fract_x
_atom_site_fract_y
_atom_site_fract_z
Hg1 0.0000 0.1121 0.0000
Hg2 0.0000 0.8587 0.6053
Hg3 0.1538 0.7012 0.9494
Sb1 0.0000 0.8123 0.1645
I1 0.0000 0.3660 0.7692
I2 0.1784 0.3527 0.2384
```



(4)
First-principles (PBE) data for crystalline CeEuCu2 at its relaxed geometry, as listed in the Alexandria database.

Results
ρ = 7.53 Mg/m³
polymorph energy (0 for the lowest one) = 0.000 eV per atom

Cell and atoms, written as CIF:
```
data_CeEuCu2
_chemical_formula_sum 'Ce1 Eu1 Cu2'
_cell_length_a 3.6105
_cell_length_b 3.6105
_cell_length_c 7.0954
_cell_angle_alpha 90.00
_cell_angle_beta 90.00
_cell_angle_gamma 90.00
_symmetry_space_group_name_H-M 'P 4/m m m'
_symmetry_Int_Tables_number 123
_symmetry_space_group_name_Hall '-P 4 2'
loop_
_atom_site_label
_atom_site_fract_x
_atom_site_fract_y
_atom_site_fract_z
Ce1 0.0000 0.0000 0.0000
Eu1 0.0000 0.0000 0.5000
Cu1 0.5000 0.5000 0.2147
```